Density functional theory data (SCAN) for a PBEsol-optimized structure of BaH3C3O7.

abc: 5.606 6.583 19.671
angles: 90.00 90.00 95.67
Sites, in units of the cell vectors:
Ba 0.226 0.389 0.921
Ba 0.774 0.111 0.421
Ba 0.774 0.611 0.079
Ba 0.226 0.889 0.579
C 0.566 0.642 0.790
C 0.434 0.858 0.290
C 0.434 0.358 0.210
C 0.566 0.142 0.710
C 0.315 0.653 0.757
C 0.685 0.847 0.257
C 0.685 0.347 0.243
C 0.315 0.153 0.743
C 0.604 0.080 0.012
C 0.396 0.420 0.512
C 0.396 0.920 0.988
C 0.604 0.580 0.488
H 0.927 0.640 0.772
H 0.073 0.860 0.272
H 0.073 0.360 0.228
H 0.927 0.140 0.728
H 0.798 0.668 0.907
H 0.202 0.832 0.407
H 0.202 0.332 0.093
H 0.798 0.168 0.593
H 0.027 0.802 0.943
H 0.973 0.698 0.443
H 0.973 0.198 0.057
H 0.027 0.302 0.557
O 0.578 0.620 0.853
O 0.422 0.880 0.353
O 0.422 0.380 0.147
O 0.578 0.120 0.647
O 0.138 0.618 0.798
O 0.862 0.882 0.298
O 0.862 0.382 0.202
O 0.138 0.118 0.702
O 0.915 0.671 0.946
O 0.085 0.829 0.446
O 0.085 0.329 0.054
O 0.915 0.171 0.554
O 0.743 0.658 0.749
O 0.257 0.842 0.249
O 0.257 0.342 0.251
O 0.743 0.158 0.751
O 0.598 0.264 0.994
O 0.402 0.236 0.494
O 0.402 0.736 0.006
O 0.598 0.764 0.506
O 0.303 0.696 0.696
O 0.697 0.804 0.196
O 0.697 0.304 0.304
O 0.303 0.196 0.804
O 0.766 0.013 0.048
O 0.234 0.487 0.548
O 0.234 0.987 0.952
O 0.766 0.513 0.452

Properties
The size of the total moment comes out at 0.00 μB/cell. The calculation puts the total energy at -0.760 Ry/atom.



Density functional theory data (SCAN) for a PBEsol-optimized structure of GaRu2O.

abc: 4.089 4.089 4.089
angles: 60.00 60.00 60.00
Sites, in units of the cell vectors:
Ru 0.250 0.250 0.250
Ru 0.750 0.750 0.750
O 0.000 0.000 0.000
Ga 0.500 0.500 0.500

Properties
The raw formation energy comes out at 0.4405 eV/atom. The size of the total moment comes out at 0.00 μB/cell.